(1)
BeMo2W at its PBEsol-relaxed geometry. Source: Alexandria via LeMat-Bulk, functional SCAN.

Results
electronic total energy = -35.77 eV/atom
energy relative to the elements = 0.19 eV/atom
DOS(E_F) = 2.1 states/eV/cell

Structure (POSCAR):
```
BeMo2W
1.0
-1.565 2.118 4.252
1.565 -2.118 4.252
1.565 2.118 -4.252
Be Mo W
1 2 1
direct
0.000 0.000 0.000
0.254 0.754 0.500
0.746 0.246 0.500
0.500 0.500 0.000
```



(2)
Y2Te2I at its PBEsol-relaxed geometry. Source: Alexandria via LeMat-Bulk, functional SCAN.

Results
raw formation energy = -141 kJ per mole of atoms
electronic total energy = -34.85 eV/atom
DOS(E_F) = 2.3 states/eV/cell

Structure (POSCAR):
```
Y2Te2I
1.0
8.414 0.000 0.000
0.000 8.414 0.000
0.000 0.000 3.958
Y Te I
4 4 2
direct
0.149 0.351 0.000
0.351 0.851 0.000
0.649 0.149 0.000
0.851 0.649 0.000
0.142 0.642 0.500
0.358 0.142 0.500
0.642 0.858 0.500
0.858 0.358 0.500
0.000 0.000 0.000
0.500 0.500 0.000
```



(3)
MoOs2Rh at its PBEsol-relaxed geometry. Source: Alexandria via LeMat-Bulk, functional SCAN.

Results
polymorph energy (0 for the lowest one) = 0.485 eV per atom
electronic total energy = -52.70 eV/atom
energy relative to the elements = 0.41 eV/atom
DOS(E_F) = 5.2 states/eV/cell

Structure (POSCAR):
```
MoOs2Rh
1.0
0.000 3.064 3.064
3.064 0.000 3.064
3.064 3.064 0.000
Mo Os Rh
1 2 1
direct
0.000 0.000 0.000
0.250 0.250 0.250
0.750 0.750 0.750
0.500 0.500 0.500
```